# KReW3

An optimized crystal structure of KReW3 (PBE-GGA, Alexandria via LeMat-Bulk).

The structure in extended XYZ format:
```
5
Lattice="4.8966 0.0000 0.0000 0.0000 4.8966 0.0000 0.0000 0.0000 4.8966" Properties=species:S:1:pos:R:3 pbc="T T T"
K 0.0000 0.0000 0.0000
Re 2.4483 2.4483 2.4483
W 0.0000 2.4483 2.4483
W 2.4483 0.0000 2.4483
W 2.4483 2.4483 0.0000
```

Output
E: -0.61711 Ry/atom
Calculated density: 11.0 g cm⁻³
Size of the total moment: 0.000 μB per formula unit